Record 1
# BaLaGeF2

A relaxed BaLaGeF2 crystal (PBE, Alexandria via LeMat-Bulk).

a = 4.6464 Å, b = 4.6464 Å, c = 6.2335 Å
α = 90.00°, β = 90.00°, γ = 90.00°
Last column: nearest neighbours and their distance in Å.
Space group P4/mmm (No. 123)
Asymmetric unit:
Ba (0.0000, 0.0000, 0.0000) [1 per cell]  2 Ge 3.12, 4 La 3.29
La (0.5000, 0.5000, 0.0000) [1 per cell]  4 Ba 3.29
Ge (0.0000, 0.0000, 0.5000) [1 per cell]  4 F 2.32
F (0.0000, 0.5000, 0.5000) [2 per cell]  2 Ge 2.32

Results
Its energy relative to the elements, uncorrected is -62.5 kJ per mole of atoms.

Record 2
# Mg2Mn2Sn

A relaxed Mg2Mn2Sn crystal (PBE, Alexandria via LeMat-Bulk).

a = 6.4688 Å, b = 6.4688 Å, c = 4.3026 Å
α = 90.00°, β = 90.00°, γ = 90.00°
Last column: nearest neighbours and their distance in Å.
Space group P4/mbm (No. 127)
Asymmetric unit:
Mg (0.1676, 0.3324, 0.0000) [4 per cell]  6 Mn 2.85-2.92, 1 Mg 3.07
Mn (0.1172, 0.6172, 0.5000) [4 per cell]  1 Mn 2.15
Sn (0.0000, 0.0000, 0.5000) [2 per cell]  4 Mn 2.59

Results
The calculation puts the energy above the most stable polymorph in this dataset at 0.000 eV per atom. The calculation puts the formation energy at 0.1877 eV per atom.

Record 3
# Ca4Dy3HoTe8

A relaxed Ca4Dy3HoTe8 crystal (PBE, Alexandria via LeMat-Bulk).

a = 8.7737 Å, b = 8.7737 Å, c = 21.9707 Å
α = 90.00°, β = 90.00°, γ = 120.00°
Last column: nearest neighbours and their distance in Å.
Space group R-3m (No. 166, hexagonal axes)
Asymmetric unit:
Ca (0.0000, 0.0000, 0.0000) [3 per cell]  6 Te 3.15
Ca (0.0000, 0.5000, 0.0000) [9 per cell]  6 Te 3.15
Dy (0.0000, 0.5000, 0.5000) [9 per cell]  6 Te 3.10
Ho (0.0000, 0.0000, 0.5000) [3 per cell]  6 Te 3.10
Te (0.0000, 0.0000, 0.2483) [6 per cell]  3 Dy 3.10, 3 Ca 3.15
Te (0.0008, 0.5004, 0.2481) [18 per cell]  1 Ho 3.10, 2 Dy 3.10, 3 Ca 3.15

Results
Its energy relative to the elements, uncorrected is -139.8 kJ per mole of atoms.

Record 4
# NaHg2IO2

A relaxed NaHg2IO2 crystal (PBE, Alexandria via LeMat-Bulk).

a = 6.4218 Å, b = 6.3131 Å, c = 8.2992 Å
α = 90.00°, β = 92.09°, γ = 90.00°
Last column: nearest neighbours and their distance in Å.
Space group P2_1/m (No. 11)
Asymmetric unit:
Na (0.0053, 0.2500, 0.0644) [2 per cell]  4 O 2.37-2.47
Hg (0.2612, 0.7500, 0.2749) [2 per cell]  2 O 2.24
Hg (0.4970, 0.2500, 0.0609) [2 per cell]  4 O 2.29-2.41
I (0.2505, 0.7500, 0.5969) [2 per cell]  1 Hg 2.68
O (0.2605, 0.5203, 0.0689) [4 per cell]  3 Hg 2.24-2.41, 2 Na 2.37-2.47

Results
Its energy relative to the elements, uncorrected is -48.7 kJ per mole of atoms.

Record 5
# V5Ir3Rh12

A relaxed V5Ir3Rh12 crystal (PBE, Alexandria via LeMat-Bulk).

a = 14.1273 Å, b = 14.1273 Å, c = 14.1273 Å
α = 90.00°, β = 90.00°, γ = 90.00°
Last column: nearest neighbours and their distance in Å.
Space group Ia-3d (No. 230)
Asymmetric unit:
V (0.0000, 0.0000, 0.0000) [16 per cell]  6 Rh 2.40
V (0.0000, 0.2500, 0.3750) [24 per cell]  4 Rh 2.28
Ir (0.0000, 0.2500, 0.1250) [24 per cell]  8 Rh 2.56-2.66
Rh (0.0189, 0.0721, 0.6523) [96 per cell]  2 V 2.28-2.40

Results
The calculation puts the formation energy at 0.4451 eV per atom.

Record 6
# RbBaCuF6

A relaxed RbBaCuF6 crystal (PBE, Alexandria via LeMat-Bulk).

a = 6.1183 Å, b = 10.6101 Å, c = 5.2699 Å
α = 90.00°, β = 90.00°, γ = 90.00°
Last column: nearest neighbours and their distance in Å.
Space group C2 (No. 5)
Asymmetric unit:
Rb (0.0000, 0.0000, 0.0000) [2 per cell]  6 F 2.68
Ba (0.0000, 0.3335, 0.5000) [2 per cell]  6 F 2.65-2.66
Cu (0.0000, 0.6669, 0.0000) [2 per cell]  6 F 1.95
F (0.1072, 0.5311, 0.2165) [4 per cell]  1 Cu 1.95
F (0.1497, 0.7886, 0.2169) [4 per cell]  1 Cu 1.95
F (0.2417, 0.1813, 0.2154) [4 per cell]  1 Cu 1.95

Results
Its energy relative to the elements, uncorrected is -240.7 kJ per mole of atoms.

Record 7
# CdPbAu4

A relaxed CdPbAu4 crystal (PBE, Alexandria via LeMat-Bulk).

a = 3.9291 Å, b = 3.9291 Å, c = 9.1116 Å
α = 90.00°, β = 90.00°, γ = 90.00°
Last column: nearest neighbours and their distance in Å.
Space group P4/mmm (No. 123)
Asymmetric unit:
Cd (0.0000, 0.0000, 0.0000) [1 per cell]  8 Au 2.91
Pb (0.5000, 0.5000, 0.5000) [1 per cell]  8 Au 3.11
Au (0.0000, 0.5000, 0.2358) [4 per cell]  4 Au 2.78, 2 Cd 2.91, 2 Pb 3.11

Results
The calculation puts the energy above the most stable polymorph in this dataset at 0.039 eV per atom. The calculation puts the formation energy at -0.0164 eV per atom.

Record 8
# TbSm3Rh3

A relaxed TbSm3Rh3 crystal (PBE, Alexandria via LeMat-Bulk).

a = 9.3151 Å, b = 10.3845 Å, c = 7.0537 Å
α = 90.00°, β = 90.68°, γ = 90.00°
Last column: nearest neighbours and their distance in Å.
Space group C2/m (No. 12)
Asymmetric unit:
Tb (0.2452, 0.0000, 0.1204) [4 per cell]  4 Rh 2.78-2.90
Sm (0.0000, 0.1814, 0.5000) [4 per cell]  6 Rh 2.89-2.96
Sm (0.0000, 0.2504, 0.0000) [4 per cell]  6 Rh 3.00-3.01
Sm (0.1728, 0.5000, 0.3809) [4 per cell]  3 Rh 2.82-2.83
Rh (0.0596, 0.0000, 0.8017) [4 per cell]  5 Sm 2.82-3.01, 2 Tb 2.82-2.90, 1 Rh 3.02
Rh (0.2469, 0.2520, 0.7297) [8 per cell]  1 Tb 2.78, 5 Sm 2.83-3.01

Results
The calculation puts the formation energy at -0.6172 eV per atom.

Values of volume, in order: 26.92; 18.00; 30.51; 28.02; 17.62; 19.01; 23.44; 24.37, all in Å³ per atom.